This record from Alexandria describes an optimized crystal structure of FeTc2Mo. The functional is GGA-PBEsol.

Properties
- Space group: I-4m2
- ΔE_f: 113 meV per atom
- N(E_F): 0.92 states/eV per atom
- Volume: 13.46 A^3/atom
- Crystal system: tetragonal

Unit cell a=3.790 b=3.790 c=4.608 alpha=114.28 beta=114.28 gamma=90.00
Last column: magnetic moment on the atom in μB.
Positions (direct):
Fe1 0.500 0.500 0.000  1.48
Mo1 0.250 0.750 0.500  -0.16
Tc1 0.000 0.000 0.000  0.07
Tc2 0.750 0.250 0.500  -0.09

---

This record from Alexandria describes an optimized crystal structure of Fe2TcMo. The functional is GGA-PBEsol.

Properties
- Space group: Pm
- ΔE_f: 103 meV per atom
- N(E_F): 0.80 states/eV per atom
- Volume: 12.85 A^3/atom
- Crystal system: monoclinic
- Offset from the most stable computed form: 5 meV per atom

Unit cell a=2.550 b=4.176 c=4.886 alpha=90.00 beta=99.00 gamma=90.00
Last column: magnetic moment on the atom in μB.
Positions (direct):
Mo1 0.493 0.000 0.489  -0.17
Tc1 0.263 0.500 0.764  0.02
Fe1 0.971 0.000 0.005  2.21
Fe2 0.773 0.500 0.242  2.17

---

This record from Alexandria describes an optimized crystal structure of Fe2TcMo. The functional is GGA-PBEsol.

Properties
- Space group: P4mm
- ΔE_f: 98 meV per atom
- N(E_F): 0.79 states/eV per atom
- Volume: 12.91 A^3/atom
- Crystal system: tetragonal
- Offset from the most stable computed form: 0 meV per atom

Unit cell a=3.006 b=3.006 c=5.716 alpha=90.00 beta=90.00 gamma=90.00
Last column: magnetic moment on the atom in μB.
Positions (direct):
Mo1 0.000 0.000 0.494  -0.08
Tc1 0.500 0.500 0.755  0.15
Fe1 0.000 0.000 0.015  2.49
Fe2 0.500 0.500 0.236  2.04

---

This record from Alexandria describes an optimized crystal structure of FeTcMo. The functional is GGA-PBEsol.

Properties
- Space group: P3m1
- ΔE_f: 114 meV per atom
- N(E_F): 0.79 states/eV per atom
- Volume: 13.61 A^3/atom
- Crystal system: trigonal
- Offset from the most stable computed form: 0 meV per atom

Unit cell a=2.579 b=4.275 c=4.275 alpha=120.00 beta=90.00 gamma=90.00
Last column: magnetic moment on the atom in μB.
Positions (direct):
Mo1 0.659 0.667 0.333  -0.03
Tc1 0.344 0.333 0.667  0.22
Fe1 0.997 0.000 0.000  2.44

---

This record from Alexandria describes an optimized crystal structure of Fe2TcMo. The functional is GGA-PBEsol.

Properties
- Space group: Imm2
- ΔE_f: 136 meV per atom
- N(E_F): 1.00 states/eV per atom
- Volume: 12.90 A^3/atom
- Crystal system: orthorhombic
- Offset from the most stable computed form: 38 meV per atom

Unit cell a=3.012 b=4.162 c=4.851 alpha=115.40 beta=108.08 gamma=90.00
Last column: magnetic moment on the atom in μB.
Positions (direct):
Fe1 0.006 0.006 0.012  2.23
Fe2 0.744 0.244 0.489  2.31
Mo1 0.497 0.497 0.995  -0.11
Tc1 0.252 0.752 0.505  0.35

---

This record from Alexandria describes an optimized crystal structure of FeTeMo. The functional is GGA-PBEsol.

Properties
- Space group: P3m1
- N(E_F): 0.11 states/eV per atom
- Volume: 17.49 A^3/atom
- E_form (uncorrected): 408 meV per atom
- Crystal system: trigonal
- Offset from the most stable computed form: 0 meV per atom

Unit cell a=3.739 b=3.739 c=4.332 alpha=90.00 beta=90.00 gamma=120.00
Positions (direct):
Fe1 0.000 0.000 0.952
Mo1 0.333 0.667 0.776
Te1 0.667 0.333 0.271

---

This record from Alexandria describes an optimized crystal structure of FeTeMo. The functional is GGA-PBEsol.

Properties
- Space group: F-43m
- N(E_F): 1.67 states/eV per atom
- Volume: 17.99 A^3/atom
- E_form (uncorrected): 764 meV per atom
- Crystal system: cubic
- Offset from the most stable computed form: 357 meV per atom

Unit cell a=4.242 b=4.242 c=4.242 alpha=60.00 beta=60.00 gamma=60.00
Last column: magnetic moment on the atom in μB.
Positions (direct):
Fe1 0.000 0.000 0.000  1.84
Mo1 0.500 0.500 0.500  0.10
Te1 0.250 0.250 0.250  -0.02

---

This record from Alexandria describes an optimized crystal structure of FeTe2Mo. The functional is GGA-PBEsol.

Properties
- Space group: P3m1
- N(E_F): 0.11 states/eV per atom
- Volume: 22.02 A^3/atom
- E_form (uncorrected): -152 meV per atom
- Crystal system: trigonal

Unit cell a=3.886 b=3.885 c=6.736 alpha=90.03 beta=90.00 gamma=120.00
Positions (direct):
Mo1 0.292 0.583 0.416
Te1 0.958 0.916 0.120
Te2 0.625 0.250 0.666
Fe1 0.625 0.250 0.298

---

This record from Alexandria describes an optimized crystal structure of TiFe2Mo2. The functional is GGA-PBEsol.

Properties
- Space group: I4/mmm
- ΔE_f: 254 meV per atom
- N(E_F): 1.22 states/eV per atom
- Volume: 14.60 A^3/atom
- Crystal system: tetragonal

Unit cell a=3.862 b=3.862 c=5.605 alpha=110.15 beta=110.15 gamma=90.00
Positions (direct):
Mo1 0.250 0.750 0.500
Mo2 0.750 0.250 0.500
Fe1 0.395 0.395 0.791
Fe2 0.605 0.605 0.209
Ti1 0.000 0.000 0.000

---

This record from Alexandria describes an optimized crystal structure of TlFe2Mo. The functional is GGA-PBEsol.

Properties
- Space group: R-3m
- ΔE_f: 602 meV per atom
- N(E_F): 1.16 states/eV per atom
- Volume: 15.12 A^3/atom
- Crystal system: trigonal

Unit cell a=2.929 b=2.929 c=8.311 alpha=79.85 beta=79.85 gamma=60.00
Last column: magnetic moment on the atom in μB.
Positions (direct):
Fe1 0.241 0.241 0.276  1.69
Fe2 0.759 0.759 0.724  1.69
Mo1 0.500 0.500 0.500  -0.30
Tl1 0.000 0.000 0.000  -0.04

---

This record from Alexandria describes an optimized crystal structure of TlFeMo2. The functional is GGA-PBEsol.

Properties
- Space group: Fm-3m
- ΔE_f: 706 meV per atom
- N(E_F): 0.74 states/eV per atom
- Volume: 15.74 A^3/atom
- Crystal system: cubic
- Offset from the most stable computed form: 273 meV per atom

Unit cell a=4.466 b=4.466 c=4.466 alpha=60.00 beta=60.00 gamma=60.00
Last column: magnetic moment on the atom in μB.
Positions (direct):
Fe1 0.000 0.000 0.000  2.35
Mo1 0.250 0.250 0.250  -0.21
Mo2 0.750 0.750 0.750  -0.21
Tl1 0.500 0.500 0.500  0.02

---

This record from Alexandria describes an optimized crystal structure of TlFe2Mo. The functional is GGA-PBEsol.

Properties
- Space group: Fm-3m
- ΔE_f: 540 meV per atom
- N(E_F): 1.20 states/eV per atom
- Volume: 13.82 A^3/atom
- Crystal system: cubic

Unit cell a=4.276 b=4.276 c=4.276 alpha=60.00 beta=60.00 gamma=60.00
Last column: magnetic moment on the atom in μB.
Positions (direct):
Fe1 0.250 0.250 0.250  0.66
Fe2 0.750 0.750 0.750  0.66
Mo1 0.000 0.000 0.000  -0.14
Tl1 0.500 0.500 0.500  -0.03

---

| no. | total DFT energy (no corrections) (eV per cell) |
| --- | --- |
| 1 | -42.8 |
| 2 | -40.5 |
| 3 | -40.6 |
| 4 | -31.7 |
| 5 | -40.4 |
| 6 | -23.0 |
| 7 | -22.0 |
| 8 | -28.4 |
| 9 | -48.5 |
| 10 | -29.9 |
| 11 | -32.3 |
| 12 | -30.2 |